(1)
## Pr4Ga2Sn (PBE)

Data for a relaxed Pr4Ga2Sn crystal.

Results
- SG: No. 12
- Energy above the lowest structure with this stoichiometry: 0.0 meV per atom
- Formation energy: -42.0 kJ/mol of atoms

POSCAR file:
```
Pr4Ga2Sn
1.0
-2.842 -4.326 1.094
-1.728 -3.081 -3.938
5.709 -7.073 -0.486
Pr Sn Ga
4 1 2
Direct
0.870 0.870 0.388
0.130 0.130 0.612
0.617 0.617 0.147
0.383 0.383 0.853
0.000 0.000 0.000
0.753 0.753 0.742
0.247 0.247 0.258
```

---

(2)
## PrTa2CrC4 (PBE)

Data for a relaxed PrTa2CrC4 crystal.

Results
- SG: No. 63
- Formation energy: -29.3 kJ/mol of atoms

POSCAR file:
```
PrTa2CrC4
1.0
-1.523 -0.589 -2.816
2.321 -5.144 1.701
-9.247 -2.355 5.494
Pr Ta Cr C
2 4 2 8
Direct
0.097 0.195 0.750
0.903 0.805 0.250
0.371 0.741 0.542
0.629 0.259 0.042
0.629 0.259 0.458
0.371 0.741 0.958
0.831 0.661 0.750
0.169 0.339 0.250
0.262 0.524 0.113
0.738 0.476 0.613
0.738 0.476 0.887
0.262 0.524 0.387
0.000 0.000 0.500
0.000 0.000 0.000
0.420 0.839 0.750
0.580 0.161 0.250
```

---

(3)
## CaHg2Sb (PBE)

Data for a relaxed CaHg2Sb crystal.

Results
- Uncorrected formation energy: -359 meV/atom
- SG: No. 8

POSCAR file:
```
CaHg2Sb
1.0
-3.181 2.964 3.970
-0.691 -0.511 5.825
2.510 3.093 2.424
Sb Ca Hg
1 1 2
Direct
0.500 0.500 0.500
0.250 0.250 0.250
0.000 0.000 0.999
0.750 0.750 0.751
```